Below is Sm4GaCu3 after structural relaxation, with properties calculated at the PBE level.

Structure (extended XYZ):
```
8
Lattice="3.8366 0.0000 0.0000 0.0000 4.4975 0.0000 0.0000 0.0000 10.8892" Properties=species:S:1:pos:R:3 pbc="T T T"
Cu 0.0000 2.2487 6.1791
Cu 1.9183 0.0000 10.1191
Cu 0.0000 0.0000 4.7253
Sm 1.9183 2.2487 3.9460
Sm 0.0000 0.0000 1.6008
Sm 1.9183 0.0000 6.9572
Sm 0.0000 2.2487 9.2421
Ga 1.9183 2.2487 0.7872
```

Values from the calculation:
space-group type: Pmm2, No. 25
offset from the most stable computed form: 4.1 meV/atom
formation energy from the elements: -26.10 kJ per mole of atoms
crystal system: orthorhombic